No. 1
Material: RbInO
Method: DFT, GGA-PBE
State: optimized geometry

a = 3.460 Å, b = 6.722 Å, c = 7.263 Å
α = 82.94°, β = 76.26°, γ = 58.84°
Fractional coordinates of all 6 atoms:
In 0.699 0.248 0.601
O 0.895 0.748 0.205
Rb 0.560 0.748 0.876
In 0.297 0.748 0.404
O 0.100 0.248 0.799
Rb 0.436 0.248 0.128

Values from the calculation:
Symmetry: P-1 (2)
Spin magnetization (μB per cell): 0.0
Formation energy without anion corrections (eV/atom): -1.05

No. 2
Material: Rb2InO
Method: DFT, GGA-PBE
State: optimized geometry

a = 3.634 Å, b = 3.858 Å, c = 10.770 Å
α = 90.01°, β = 90.02°, γ = 61.84°
Fractional coordinates of all 4 atoms:
Rb 0.304 0.688 0.101
In 0.620 0.041 0.450
O 0.625 0.046 0.950
Rb 0.304 0.687 0.799

Values from the calculation:
Polymorph energy (0 for the lowest one) (meV/atom): 0
Symmetry: Pm (6)
Spin magnetization (μB per cell): 0.3
Formation energy without anion corrections (eV/atom): -0.47

No. 3
Material: RbInO3
Method: DFT, GGA-PBE
State: optimized geometry

a = 4.278 Å, b = 4.278 Å, c = 4.278 Å
α = 90.00°, β = 90.00°, γ = 90.00°
Fractional coordinates of all 5 atoms:
O 0.000 0.000 0.500
O 0.500 0.000 0.000
O 0.000 0.500 0.000
Rb 0.500 0.500 0.500
In 0.000 0.000 0.000

Values from the calculation:
Symmetry: Pm-3m (221)
Spin magnetization (μB per cell): 2.0
Formation energy without anion corrections (eV/atom): -0.83

No. 4
Material: RbIn2O
Method: DFT, GGA-PBE
State: optimized geometry

a = 5.358 Å, b = 5.358 Å, c = 5.358 Å
α = 60.00°, β = 60.00°, γ = 60.00°
Fractional coordinates of all 4 atoms:
Rb 0.500 0.500 0.500
In 0.750 0.750 0.750
O 0.000 0.000 0.000
In 0.250 0.250 0.250

Values from the calculation:
Polymorph energy (0 for the lowest one) (meV/atom): 654
Symmetry: Fm-3m (225)
Spin magnetization (μB per cell): 0.0
Formation energy without anion corrections (eV/atom): 0.28

No. 5
Material: RbIn2O
Method: DFT, GGA-PBE
State: optimized geometry

a = 8.236 Å, b = 8.236 Å, c = 6.614 Å
α = 51.49°, β = 51.49°, γ = 90.00°
Fractional coordinates of all 8 atoms:
In 0.375 0.476 0.750
In 0.226 0.625 0.250
Rb 0.000 0.000 0.000
O 0.250 0.750 0.500
In 0.524 0.125 0.250
O 0.500 0.500 0.000
Rb 0.750 0.250 0.500
In 0.875 0.774 0.750

Values from the calculation:
Polymorph energy (0 for the lowest one) (meV/atom): 0
Symmetry: I-42d (122)
Spin magnetization (μB per cell): 0.0
Formation energy without anion corrections (eV/atom): -0.38

No. 6
Material: Rb3InO3
Method: DFT, GGA-PBE
State: optimized geometry

a = 5.921 Å, b = 8.686 Å, c = 8.685 Å
α = 119.91°, β = 90.00°, γ = 90.00°
Fractional coordinates of all 14 atoms:
O 0.750 0.198 0.397
Rb 0.750 0.830 0.659
O 0.750 0.199 0.802
O 0.250 0.397 0.199
Rb 0.250 0.171 0.830
O 0.750 0.603 0.801
In 0.750 0.333 0.667
In 0.250 0.667 0.333
O 0.250 0.802 0.603
Rb 0.250 0.170 0.341
O 0.250 0.801 0.198
Rb 0.750 0.341 0.171
Rb 0.750 0.829 0.170
Rb 0.250 0.659 0.829

Values from the calculation:
Polymorph energy (0 for the lowest one) (meV/atom): 137
Symmetry: Cmcm (63)
Spin magnetization (μB per cell): 0.0
Formation energy without anion corrections (eV/atom): -1.21

No. 7
Material: Rb2InReO6
Method: DFT, GGA-PBE
State: optimized geometry

a = 5.556 Å, b = 6.408 Å, c = 6.408 Å
α = 120.00°, β = 90.00°, γ = 90.00°
Fractional coordinates of all 10 atoms:
In 0.500 0.000 0.000
Re 0.000 0.000 0.000
Rb 0.840 0.667 0.333
O 0.209 0.276 0.138
O 0.791 0.138 0.862
O 0.209 0.862 0.138
O 0.791 0.138 0.276
O 0.209 0.862 0.724
Rb 0.160 0.333 0.667
O 0.791 0.724 0.862

Values from the calculation:
Symmetry: P-3m1 (164)
Spin magnetization (μB per cell): 0.0
Formation energy without anion corrections (eV/atom): -1.48

No. 8
Material: Rb3In3RhO8
Method: DFT, GGA-PBE
State: optimized geometry

a = 6.630 Å, b = 6.630 Å, c = 7.558 Å
α = 116.02°, β = 90.00°, γ = 120.00°
Fractional coordinates of all 15 atoms:
O 0.210 0.954 0.664
Rb 0.000 0.000 0.000
O 0.791 0.581 0.336
O 0.209 0.419 0.664
Rb 0.000 0.500 0.000
O 0.276 0.552 0.328
Rh 0.000 0.000 0.500
In 0.500 0.500 0.500
Rb 0.500 0.500 0.000
O 0.255 0.046 0.336
In 0.000 0.500 0.500
O 0.790 0.046 0.336
O 0.724 0.448 0.672
In 0.500 0.000 0.500
O 0.745 0.954 0.664

Values from the calculation:
Symmetry: R-3m (166)
Spin magnetization (μB per cell): 1.1
Formation energy without anion corrections (eV/atom): -1.36